Version a
Below is a geometry-optimized ZrTcPd2 structure, with properties calculated at the PBE-GGA level.

Values from the calculation:
Magnetization ... 0.0 μB per formula unit

The structure in CIF format:
```
data_ZrTcPd2
_chemical_formula_sum 'Zr4 Tc4 Pd8'
_cell_length_a 3.879
_cell_length_b 3.879
_cell_length_c 18.914
_cell_angle_alpha 90.00
_cell_angle_beta 90.00
_cell_angle_gamma 90.00
_space_group_name_H-M_alt 'P 1'
_space_group_IT_number 1
loop_
_space_group_symop_operation_xyz
'x,y,z'
loop_
_atom_site_label
_atom_site_type_symbol
_atom_site_fract_x
_atom_site_fract_y
_atom_site_fract_z
_atom_site_occupancy
Zr1 Zr 0.000 0.000 0.000 1
Zr2 Zr 0.000 0.500 0.250 1
Zr3 Zr 0.500 0.000 0.750 1
Zr4 Zr 0.500 0.500 0.500 1
Tc1 Tc 0.000 0.000 0.500 1
Tc2 Tc 0.000 0.500 0.750 1
Tc3 Tc 0.500 0.000 0.250 1
Tc4 Tc 0.500 0.500 0.000 1
Pd1 Pd 0.242 0.250 0.625 1
Pd2 Pd 0.250 0.742 0.875 1
Pd3 Pd 0.250 0.758 0.375 1
Pd4 Pd 0.258 0.250 0.125 1
Pd5 Pd 0.742 0.750 0.125 1
Pd6 Pd 0.750 0.242 0.375 1
Pd7 Pd 0.750 0.258 0.875 1
Pd8 Pd 0.758 0.750 0.625 1
```

***

Version b
Below is a geometry-optimized ZrTcPd2 structure, with properties calculated at the PBE-GGA level.

Values from the calculation:
Magnetization ... 1.8 μB per formula unit

The structure in CIF format:
```
data_ZrTcPd2
_chemical_formula_sum 'Zr4 Tc4 Pd8'
_cell_length_a 6.490
_cell_length_b 6.490
_cell_length_c 6.490
_cell_angle_alpha 90.00
_cell_angle_beta 90.00
_cell_angle_gamma 90.00
_space_group_name_H-M_alt 'P 1'
_space_group_IT_number 1
loop_
_space_group_symop_operation_xyz
'x,y,z'
loop_
_atom_site_label
_atom_site_type_symbol
_atom_site_fract_x
_atom_site_fract_y
_atom_site_fract_z
_atom_site_occupancy
Zr1 Zr 0.000 0.000 0.000 1
Zr2 Zr 0.000 0.500 0.500 1
Zr3 Zr 0.500 0.000 0.500 1
Zr4 Zr 0.500 0.500 0.000 1
Tc1 Tc 0.000 0.000 0.500 1
Tc2 Tc 0.000 0.500 0.000 1
Tc3 Tc 0.500 0.000 0.000 1
Tc4 Tc 0.500 0.500 0.500 1
Pd1 Pd 0.250 0.250 0.250 1
Pd2 Pd 0.250 0.250 0.750 1
Pd3 Pd 0.250 0.750 0.250 1
Pd4 Pd 0.250 0.750 0.750 1
Pd5 Pd 0.750 0.250 0.250 1
Pd6 Pd 0.750 0.250 0.750 1
Pd7 Pd 0.750 0.750 0.250 1
Pd8 Pd 0.750 0.750 0.750 1
```

***

Most stable = version b

***

Version a
Below is a geometry-optimized ThTePd structure, with properties calculated at the PBE-GGA level.

Values from the calculation:
Magnetization ... 0.0 μB per formula unit

The structure in CIF format:
```
data_ThTePd
_chemical_formula_sum 'Th2 Te2 Pd2'
_cell_length_a 3.954
_cell_length_b 4.224
_cell_length_c 10.252
_cell_angle_alpha 90.00
_cell_angle_beta 101.08
_cell_angle_gamma 90.00
_space_group_name_H-M_alt 'P 1'
_space_group_IT_number 1
loop_
_space_group_symop_operation_xyz
'x,y,z'
loop_
_atom_site_label
_atom_site_type_symbol
_atom_site_fract_x
_atom_site_fract_y
_atom_site_fract_z
_atom_site_occupancy
Th1 Th 0.092 0.250 0.186 1
Th2 Th 0.908 0.750 0.814 1
Te1 Te 0.325 0.250 0.648 1
Te2 Te 0.675 0.750 0.352 1
Pd1 Pd 0.460 0.250 0.919 1
Pd2 Pd 0.540 0.750 0.081 1
```

***

Version b
Below is a geometry-optimized ThTePd structure, with properties calculated at the PBE-GGA level.

Values from the calculation:
Magnetization ... 0.0 μB per formula unit

The structure in CIF format:
```
data_ThTePd
_chemical_formula_sum 'Th2 Te2 Pd2'
_cell_length_a 3.884
_cell_length_b 3.884
_cell_length_c 10.009
_cell_angle_alpha 90.00
_cell_angle_beta 90.00
_cell_angle_gamma 90.00
_space_group_name_H-M_alt 'P 1'
_space_group_IT_number 1
loop_
_space_group_symop_operation_xyz
'x,y,z'
loop_
_atom_site_label
_atom_site_type_symbol
_atom_site_fract_x
_atom_site_fract_y
_atom_site_fract_z
_atom_site_occupancy
Th1 Th 0.000 0.000 0.000 1
Th2 Th 0.500 0.500 0.500 1
Te1 Te 0.000 0.000 0.681 1
Te2 Te 0.500 0.500 0.181 1
Pd1 Pd 0.000 0.000 0.354 1
Pd2 Pd 0.500 0.500 0.854 1
```

***

Most stable = version a

***

Version a
Below is a geometry-optimized ThTe3Pd structure, with properties calculated at the PBE-GGA level.

Values from the calculation:
Magnetization ... 0.0 μB per formula unit

The structure in CIF format:
```
data_ThTe3Pd
_chemical_formula_sum 'Th2 Te6 Pd2'
_cell_length_a 6.367
_cell_length_b 6.367
_cell_length_c 10.328
_cell_angle_alpha 90.00
_cell_angle_beta 90.00
_cell_angle_gamma 139.56
_space_group_name_H-M_alt 'P 1'
_space_group_IT_number 1
loop_
_space_group_symop_operation_xyz
'x,y,z'
loop_
_atom_site_label
_atom_site_type_symbol
_atom_site_fract_x
_atom_site_fract_y
_atom_site_fract_z
_atom_site_occupancy
Th1 Th 0.212 0.788 0.750 1
Th2 Th 0.788 0.212 0.250 1
Te1 Te 0.081 0.919 0.250 1
Te2 Te 0.355 0.645 0.029 1
Te3 Te 0.355 0.645 0.471 1
Te4 Te 0.645 0.355 0.529 1
Te5 Te 0.645 0.355 0.971 1
Te6 Te 0.919 0.081 0.750 1
Pd1 Pd 0.000 0.000 0.000 1
Pd2 Pd 0.000 0.000 0.500 1
```

***

Version b
Below is a geometry-optimized ThTe3Pd structure, with properties calculated at the PBE-GGA level.

Values from the calculation:
Magnetization ... 0.0 μB per formula unit

The structure in CIF format:
```
data_ThTe3Pd
_chemical_formula_sum 'Th2 Te6 Pd2'
_cell_length_a 5.515
_cell_length_b 9.039
_cell_length_c 9.039
_cell_angle_alpha 138.57
_cell_angle_beta 90.00
_cell_angle_gamma 90.00
_space_group_name_H-M_alt 'P 1'
_space_group_IT_number 1
loop_
_space_group_symop_operation_xyz
'x,y,z'
loop_
_atom_site_label
_atom_site_type_symbol
_atom_site_fract_x
_atom_site_fract_y
_atom_site_fract_z
_atom_site_occupancy
Th1 Th 0.250 0.130 0.870 1
Th2 Th 0.750 0.870 0.130 1
Te1 Te 0.250 0.549 0.382 1
Te2 Te 0.250 0.824 0.939 1
Te3 Te 0.250 0.961 0.406 1
Te4 Te 0.750 0.382 0.549 1
Te5 Te 0.750 0.406 0.961 1
Te6 Te 0.750 0.939 0.824 1
Pd1 Pd 0.250 0.248 0.388 1
Pd2 Pd 0.750 0.388 0.248 1
```

***

Most stable = version a

***

Version a
Below is a geometry-optimized TlTePd3 structure, with properties calculated at the PBE-GGA level.

Values from the calculation:
Magnetization ... 0.0 μB per formula unit

The structure in CIF format:
```
data_TlTePd3
_chemical_formula_sum 'Tl4 Te4 Pd12'
_cell_length_a 7.722
_cell_length_b 5.578
_cell_length_c 10.106
_cell_angle_alpha 90.00
_cell_angle_beta 115.33
_cell_angle_gamma 90.00
_space_group_name_H-M_alt 'P 1'
_space_group_IT_number 1
loop_
_space_group_symop_operation_xyz
'x,y,z'
loop_
_atom_site_label
_atom_site_type_symbol
_atom_site_fract_x
_atom_site_fract_y
_atom_site_fract_z
_atom_site_occupancy
Tl1 Tl 0.172 0.241 0.081 1
Tl2 Tl 0.172 0.259 0.581 1
Tl3 Tl 0.828 0.741 0.419 1
Tl4 Tl 0.828 0.759 0.919 1
Te1 Te 0.342 0.665 0.327 1
Te2 Te 0.342 0.835 0.827 1
Te3 Te 0.658 0.165 0.173 1
Te4 Te 0.658 0.335 0.673 1
Pd1 Pd 0.007 0.579 0.713 1
Pd2 Pd 0.007 0.921 0.213 1
Pd3 Pd 0.233 0.734 0.037 1
Pd4 Pd 0.233 0.766 0.537 1
Pd5 Pd 0.365 0.169 0.401 1
Pd6 Pd 0.365 0.331 0.901 1
Pd7 Pd 0.635 0.669 0.099 1
Pd8 Pd 0.635 0.831 0.599 1
Pd9 Pd 0.767 0.234 0.463 1
Pd10 Pd 0.767 0.266 0.963 1
Pd11 Pd 0.993 0.079 0.787 1
Pd12 Pd 0.993 0.421 0.287 1
```

***

Version b
Below is a geometry-optimized TlTePd3 structure, with properties calculated at the PBE-GGA level.

Values from the calculation:
Magnetization ... 0.0 μB per formula unit

The structure in CIF format:
```
data_TlTePd3
_chemical_formula_sum 'Tl1 Te1 Pd3'
_cell_length_a 5.040
_cell_length_b 5.040
_cell_length_c 5.040
_cell_angle_alpha 90.00
_cell_angle_beta 90.00
_cell_angle_gamma 90.00
_space_group_name_H-M_alt 'P 1'
_space_group_IT_number 1
loop_
_space_group_symop_operation_xyz
'x,y,z'
loop_
_atom_site_label
_atom_site_type_symbol
_atom_site_fract_x
_atom_site_fract_y
_atom_site_fract_z
_atom_site_occupancy
Tl1 Tl 0.000 0.000 0.000 1
Te1 Te 0.500 0.500 0.500 1
Pd1 Pd 0.000 0.500 0.500 1
Pd2 Pd 0.500 0.000 0.500 1
Pd3 Pd 0.500 0.500 0.000 1
```

***

Version c
Below is a geometry-optimized TlTePd3 structure, with properties calculated at the PBE-GGA level.

Values from the calculation:
Magnetization ... 0.0 μB per formula unit

The structure in CIF format:
```
data_TlTePd3
_chemical_formula_sum 'Tl2 Te2 Pd6'
_cell_length_a 4.581
_cell_length_b 8.020
_cell_length_c 5.759
_cell_angle_alpha 90.00
_cell_angle_beta 90.00
_cell_angle_gamma 90.00
_space_group_name_H-M_alt 'P 1'
_space_group_IT_number 1
loop_
_space_group_symop_operation_xyz
'x,y,z'
loop_
_atom_site_label
_atom_site_type_symbol
_atom_site_fract_x
_atom_site_fract_y
_atom_site_fract_z
_atom_site_occupancy
Tl1 Tl 0.000 0.140 0.000 1
Tl2 Tl 0.000 0.860 0.500 1
Te1 Te 0.500 0.363 0.596 1
Te2 Te 0.500 0.637 0.096 1
Pd1 Pd 0.000 0.212 0.478 1
Pd2 Pd 0.000 0.788 0.978 1
Pd3 Pd 0.500 0.046 0.748 1
Pd4 Pd 0.500 0.299 0.143 1
Pd5 Pd 0.500 0.701 0.643 1
Pd6 Pd 0.500 0.954 0.248 1
```

***

Most stable = version a

***

Version a
Below is a geometry-optimized TlTePd4 structure, with properties calculated at the PBE-GGA level.

Values from the calculation:
Magnetization ... 0.0 μB per formula unit

The structure in CIF format:
```
data_TlTePd4
_chemical_formula_sum 'Tl2 Te2 Pd8'
_cell_length_a 9.911
_cell_length_b 9.911
_cell_length_c 5.735
_cell_angle_alpha 90.00
_cell_angle_beta 90.00
_cell_angle_gamma 156.41
_space_group_name_H-M_alt 'P 1'
_space_group_IT_number 1
loop_
_space_group_symop_operation_xyz
'x,y,z'
loop_
_atom_site_label
_atom_site_type_symbol
_atom_site_fract_x
_atom_site_fract_y
_atom_site_fract_z
_atom_site_occupancy
Tl1 Tl 0.227 0.773 0.750 1
Tl2 Tl 0.773 0.227 0.250 1
Te1 Te 0.077 0.923 0.250 1
Te2 Te 0.923 0.077 0.750 1
Pd1 Pd 0.075 0.925 0.750 1
Pd2 Pd 0.351 0.649 0.002 1
Pd3 Pd 0.351 0.649 0.498 1
Pd4 Pd 0.500 0.500 0.000 1
Pd5 Pd 0.500 0.500 0.500 1
Pd6 Pd 0.649 0.351 0.502 1
Pd7 Pd 0.649 0.351 0.998 1
Pd8 Pd 0.925 0.075 0.250 1
```

***

Version b
Below is a geometry-optimized TlTePd4 structure, with properties calculated at the PBE-GGA level.

Values from the calculation:
Magnetization ... 0.0 μB per formula unit

The structure in CIF format:
```
data_TlTePd4
_chemical_formula_sum 'Tl2 Te2 Pd8'
_cell_length_a 4.883
_cell_length_b 5.396
_cell_length_c 9.084
_cell_angle_alpha 107.12
_cell_angle_beta 105.47
_cell_angle_gamma 90.01
_space_group_name_H-M_alt 'P 1'
_space_group_IT_number 1
loop_
_space_group_symop_operation_xyz
'x,y,z'
loop_
_atom_site_label
_atom_site_type_symbol
_atom_site_fract_x
_atom_site_fract_y
_atom_site_fract_z
_atom_site_occupancy
Tl1 Tl 0.250 0.203 0.000 1
Tl2 Tl 0.750 0.797 0.000 1
Te1 Te 0.000 0.500 0.500 1
Te2 Te 0.500 0.000 0.500 1
Pd1 Pd 0.084 0.008 0.668 1
Pd2 Pd 0.162 0.576 0.824 1
Pd3 Pd 0.338 0.753 0.175 1
Pd4 Pd 0.416 0.341 0.333 1
Pd5 Pd 0.584 0.659 0.667 1
Pd6 Pd 0.662 0.247 0.825 1
Pd7 Pd 0.838 0.424 0.176 1
Pd8 Pd 0.916 0.992 0.332 1
```

***

Most stable = version b

***

Version a
Below is a geometry-optimized Tl2Te2Pd3 structure, with properties calculated at the PBE-GGA level.

Values from the calculation:
Magnetization ... 0.0 μB per formula unit

The structure in CIF format:
```
data_Tl2Te2Pd3
_chemical_formula_sum 'Tl2 Te2 Pd3'
_cell_length_a 6.469
_cell_length_b 6.469
_cell_length_c 6.469
_cell_angle_alpha 54.31
_cell_angle_beta 54.31
_cell_angle_gamma 54.31
_space_group_name_H-M_alt 'P 1'
_space_group_IT_number 1
loop_
_space_group_symop_operation_xyz
'x,y,z'
loop_
_atom_site_label
_atom_site_type_symbol
_atom_site_fract_x
_atom_site_fract_y
_atom_site_fract_z
_atom_site_occupancy
Tl1 Tl 0.000 0.000 0.000 1
Tl2 Tl 0.500 0.500 0.500 1
Te1 Te 0.210 0.210 0.210 1
Te2 Te 0.790 0.790 0.790 1
Pd1 Pd 0.000 0.500 0.500 1
Pd2 Pd 0.500 0.000 0.500 1
Pd3 Pd 0.500 0.500 0.000 1
```

***

Version b
Below is a geometry-optimized Tl2Te2Pd3 structure, with properties calculated at the PBE-GGA level.

Values from the calculation:
Magnetization ... 0.0 μB per formula unit

The structure in CIF format:
```
data_Tl2Te2Pd3
_chemical_formula_sum 'Tl4 Te4 Pd6'
_cell_length_a 6.990
_cell_length_b 7.338
_cell_length_c 7.076
_cell_angle_alpha 90.00
_cell_angle_beta 111.11
_cell_angle_gamma 90.00
_space_group_name_H-M_alt 'P 1'
_space_group_IT_number 1
loop_
_space_group_symop_operation_xyz
'x,y,z'
loop_
_atom_site_label
_atom_site_type_symbol
_atom_site_fract_x
_atom_site_fract_y
_atom_site_fract_z
_atom_site_occupancy
Tl1 Tl 0.148 0.155 0.396 1
Tl2 Tl 0.148 0.345 0.896 1
Tl3 Tl 0.852 0.655 0.104 1
Tl4 Tl 0.852 0.845 0.604 1
Te1 Te 0.351 0.677 0.643 1
Te2 Te 0.351 0.823 0.143 1
Te3 Te 0.649 0.177 0.857 1
Te4 Te 0.649 0.323 0.357 1
Pd1 Pd 0.000 0.000 0.000 1
Pd2 Pd 0.000 0.500 0.500 1
Pd3 Pd 0.293 0.005 0.790 1
Pd4 Pd 0.293 0.495 0.290 1
Pd5 Pd 0.707 0.505 0.710 1
Pd6 Pd 0.707 0.995 0.210 1
```

***

Most stable = version a